No. 1
First-principles (GGA-PBE) data for TePb3Se2 after structural relaxation, as listed in the Alexandria database.

As for the crystal system: orthorhombic. The size of the total moment is 0.00 μB/cell. The raw formation energy comes out at -0.499 eV per atom.

The structure belongs to space group Immm (No. 71); the cell edges are 4.462, 6.345 and 13.424 Å and the angles 90.00°, 90.00° and 90.00°. The asymmetric unit holds Te at (0.000, 0.000, 0.000), Pb at (0.000, 0.500, 0.000), Pb at (0.000, 0.500, 0.323) and Se at (0.000, 0.000, 0.336).

No. 2
First-principles (GGA-PBE) data for LiCdAg2 after structural relaxation, as listed in the Alexandria database.

As for the crystal system: monoclinic. Its density of states at the Fermi level is 1.88 states/eV per cell. The size of the total moment is 0.00 μB/cell. The value obtained for the formation energy from the elements is -82 meV/atom.

The structure belongs to space group Cm (No. 8); the cell edges are 4.817, 3.193 and 9.516 Å and the angles 90.00°, 96.02° and 90.00°. The asymmetric unit holds Li at (0.000, 0.000, 0.000), Cd at (0.399, 0.500, 0.500), Ag at (0.055, 0.500, 0.768) and Ag at (0.444, 0.000, 0.232).

Values of energy, in order: -4.04, -2.21, all in eV per atom.